PmDyInRh: relaxed, PBE.

Its symmetry is F-43m (216). The density of states at the Fermi level is 0.830 states/eV/atom. The calculation puts the total energy at -5.3671 eV per atom. Its calculated volume is 97 Å³/f.u. The value obtained for the energy relative to the elements is -48.86 kJ/mol of atoms.

Cell lengths 5.163, 5.163, 5.163 Å; angles 60.00, 60.00, 60.00 degrees
Atoms (fractional coordinates):
In  0.500  0.500  0.500
Dy  0.250  0.250  0.250
Pm  0.750  0.750  0.750
Rh  0.000  0.000  0.000